[1]
FeNi2P | PBE-GGA | optimized geometry

Cell: 7.7785 7.7785 7.7785 Å, 19.49 19.49 19.49°
Closest atoms and distances in Å follow each position.
Element x y z (fractional)
1 Ni 0.5074 0.5074 0.5074  3 P 2.31, 3 Fe 2.57
2 Fe 0.7500 0.7500 0.7500  6 Ni 2.57, 6 Fe 2.63
3 P 0.2500 0.2500 0.2500  6 Ni 2.31
4 Ni 0.9926 0.9926 0.9926  3 P 2.31, 3 Fe 2.57

Results
crystal system = trigonal
volume = 11.449 A^3/atom
ΔH_f (0 K) = -0.044 eV per atom
DOS(E_F) = 3.770 states/eV/cell
SG = R-3m, No. 166
calculated total energy = -6.4027 eV/atom

***

[2]
Fe2NiP | PBE-GGA | optimized geometry

Cell: 7.6045 7.6045 7.6045 Å, 19.63 19.63 19.63°
Closest atoms and distances in Å follow each position.
Element x y z (fractional)
1 P 0.7500 0.7500 0.7500  6 Fe 2.27
2 Fe 0.4928 0.4928 0.4928  3 P 2.27, 3 Ni 2.52
3 Ni 0.2500 0.2500 0.2500  6 Fe 2.52, 6 Ni 2.59
4 Fe 0.0072 0.0072 0.0072  3 P 2.27, 3 Ni 2.52

Results
crystal system = trigonal
volume = 10.850 A^3/atom
ΔH_f (0 K) = -0.006 eV per atom
DOS(E_F) = 3.445 states/eV/cell
SG = R-3m, No. 166
calculated total energy = -7.0350 eV/atom

***

[3]
FeNiP2 | PBE-GGA | optimized geometry

Cell: 7.1135 7.1135 7.1135 Å, 22.30 22.30 22.30°
Closest atoms and distances in Å follow each position.
Element x y z (fractional)
1 P 0.9977 0.9977 0.9977  3 Fe 2.32, 3 Ni 2.39
2 Fe 0.2500 0.2500 0.2500  6 P 2.32
3 Ni 0.7500 0.7500 0.7500  6 P 2.39
4 P 0.5023 0.5023 0.5023  3 Fe 2.32, 3 Ni 2.39

Results
crystal system = trigonal
volume = 11.363 A^3/atom
ΔH_f (0 K) = -0.214 eV per atom
DOS(E_F) = 2.014 states/eV/cell
SG = R-3m, No. 166
calculated total energy = -6.4801 eV/atom

***

[4]
FeNi2P | PBE-GGA | optimized geometry

Cell: 3.4473 2.6482 4.9921 Å, 74.61 90.00 90.00°
Closest atoms and distances in Å follow each position.
Element x y z (fractional)
1 Ni 0.0000 0.0618 0.0015  1 P 2.22, 4 Ni 2.48
2 Ni 0.5000 0.4373 0.2495  2 P 2.22, 4 Ni 2.48
3 P 0.0000 0.2929 0.5398  3 Ni 2.22, 4 Fe 2.32
4 Fe 0.5000 0.7079 0.7092  4 P 2.32, 6 Ni 2.58-2.59

Results
crystal system = orthorhombic
volume = 10.984 A^3/atom
ΔH_f (0 K) = -0.214 eV per atom
DOS(E_F) = 4.207 states/eV/cell
SG = Amm2, No. 38
calculated total energy = -6.5727 eV/atom

***

[5]
Fe2NiP | PBE-GGA | optimized geometry

Cell: 6.7199 6.7199 6.7199 Å, 96.09 96.09 141.99°
Closest atoms and distances in Å follow each position.
Element x y z (fractional)
1 Fe 0.1228 0.3083 0.9721  2 P 2.29-2.35, 1 Fe 2.38, 1 Ni 2.49
2 Fe 0.3774 0.0455 0.3907  4 P 2.27-2.30, 1 Ni 2.52
3 Fe 0.6548 0.9866 0.6093  4 P 2.27-2.31, 1 Ni 2.52
4 P 0.8053 0.5570 0.3351  3 Ni 2.21-2.40, 6 Fe 2.27-2.35
5 Fe 0.8493 0.8772 0.1855  2 P 2.29-2.35, 1 Fe 2.38, 1 Ni 2.49
6 P 0.2219 0.4702 0.6649  3 Ni 2.21-2.40, 6 Fe 2.27-2.35
7 Fe 0.9545 0.3452 0.3318  4 P 2.27-2.31, 1 Ni 2.52
8 Fe 0.6917 0.6637 0.8145  2 P 2.29-2.35, 1 Fe 2.38, 1 Ni 2.49
9 Fe 0.3363 0.1507 0.0279  2 P 2.29-2.35, 1 Fe 2.38, 1 Ni 2.49
10 Ni 0.0783 0.0337 0.6066  3 P 2.21-2.40
11 P 0.5298 0.1947 0.7517  3 Ni 2.21-2.40, 6 Fe 2.27-2.35
12 Fe 0.0134 0.6226 0.6682  4 P 2.27-2.31, 1 Ni 2.52
13 Ni 0.5283 0.9217 0.9554  3 P 2.21-2.40
14 Ni 0.9663 0.5729 0.0446  3 P 2.21-2.40
15 P 0.4430 0.7781 0.2483  3 Ni 2.21-2.40, 6 Fe 2.27-2.35
16 Ni 0.4271 0.4717 0.3934  3 P 2.21-2.40

Results
crystal system = tetragonal
volume = 11.043 A^3/atom
ΔH_f (0 K) = -0.384 eV per atom
DOS(E_F) = 13.243 states/eV/cell
SG = I-4, No. 82
calculated total energy = -7.4134 eV/atom

***

[6]
FeNiP2 | PBE-GGA | optimized geometry

Cell: 4.1994 3.2289 4.1358 Å, 66.96 90.00 90.00°
Closest atoms and distances in Å follow each position.
Element x y z (fractional)
1 P 0.5000 0.5342 0.3071  3 Ni 2.20-2.32, 2 Fe 2.29
2 Fe 0.0000 0.4126 0.5502  5 P 2.20-2.31
3 P 0.0000 0.7150 0.9443  3 Fe 2.20-2.31, 2 Ni 2.30
4 Ni 0.5000 0.8381 0.6985  5 P 2.20-2.32

Results
crystal system = orthorhombic
volume = 12.901 A^3/atom
ΔH_f (0 K) = -0.340 eV per atom
DOS(E_F) = 2.558 states/eV/cell
SG = Amm2, No. 38
calculated total energy = -6.6058 eV/atom

***

[7]
FeNi2P | PBE-GGA | optimized geometry

Cell: 3.4610 3.4610 8.4778 Å, 78.22 78.22 90.00°
Closest atoms and distances in Å follow each position.
Element x y z (fractional)
1 P 0.2500 0.7500 0.5000  4 Ni 2.35, 4 Fe 2.45
2 Ni 0.3750 0.3891 0.7500  2 P 2.35, 4 Ni 2.38-2.52, 2 Fe 2.39
3 Fe 0.0000 0.0000 0.0000  4 Ni 2.39, 4 P 2.45
4 P 0.5000 0.5000 0.0000  4 Ni 2.35, 4 Fe 2.45
5 Ni 0.8750 0.8609 0.7500  2 P 2.35, 4 Ni 2.38-2.52, 2 Fe 2.39
6 Ni 0.1391 0.6250 0.2500  2 P 2.35, 4 Ni 2.38-2.52, 2 Fe 2.39
7 Ni 0.6109 0.1250 0.2500  2 P 2.35, 4 Ni 2.38-2.52, 2 Fe 2.39
8 Fe 0.7500 0.2500 0.5000  4 Ni 2.39, 4 P 2.45

Results
crystal system = tetragonal
volume = 12.153 A^3/atom
ΔH_f (0 K) = 0.070 eV per atom
DOS(E_F) = 12.344 states/eV/cell
SG = I-42d, No. 122
calculated total energy = -6.2891 eV/atom

***

[8]
FeNiP2 | PBE-GGA | optimized geometry

Cell: 3.1583 3.1583 4.5856 Å, 90.00 90.00 90.00°
Closest atoms and distances in Å follow each position.
Element x y z (fractional)
1 P 0.0000 0.0000 0.9465  2 Fe 2.27-2.31, 4 Ni 2.33
2 Fe 0.0000 0.0000 0.4506  6 P 2.27-2.34
3 Ni 0.5000 0.5000 0.8009  6 P 2.29-2.33
4 P 0.5000 0.5000 0.3020  2 Ni 2.29-2.30, 4 Fe 2.34

Results
crystal system = tetragonal
volume = 11.436 A^3/atom
ΔH_f (0 K) = -0.307 eV per atom
DOS(E_F) = 2.182 states/eV/cell
SG = P4mm, No. 99
calculated total energy = -6.5725 eV/atom

***

[9]
Fe3NiP | PBE-GGA | optimized geometry

Cell: 4.1341 4.1341 4.1341 Å, 90.00 90.00 90.00°
Closest atoms and distances in Å follow each position.
Element x y z (fractional)
1 Fe 0.0000 0.5000 0.0000  2 P 2.07
2 Fe 0.0000 0.0000 0.5000  2 P 2.07
3 Fe 0.5000 0.0000 0.0000  2 P 2.07
4 Ni 0.5000 0.5000 0.5000  12 Fe 2.92
5 P 0.0000 0.0000 0.0000  6 Fe 2.07

Results
crystal system = cubic
volume = 14.131 A^3/atom
ΔH_f (0 K) = 0.466 eV per atom
DOS(E_F) = 6.020 states/eV/cell
SG = Pm-3m, No. 221
calculated total energy = -6.8494 eV/atom

***

[10]
FeNiP2 | PBE-GGA | optimized geometry

Cell: 9.3203 9.3203 9.3203 Å, 16.63 16.63 16.63°
Closest atoms and distances in Å follow each position.
Element x y z (fractional)
1 P 0.0284 0.0284 0.0284  3 Ni 2.26
2 P 0.2209 0.2209 0.2209  3 Fe 2.23
3 Ni 0.7544 0.7544 0.7544  3 P 2.26
4 Fe 0.4963 0.4963 0.4963  3 P 2.23

Results
crystal system = trigonal
volume = 14.452 A^3/atom
ΔH_f (0 K) = 0.076 eV per atom
DOS(E_F) = 2.827 states/eV/cell
SG = R3m, No. 160
calculated total energy = -6.1903 eV/atom

***

[11]
PaFeNiP2 | PBE-GGA | optimized geometry

Cell: 3.8273 3.8273 5.5479 Å, 110.18 110.18 90.00°
Closest atoms and distances in Å follow each position.
Element x y z (fractional)
1 P 0.6238 0.6238 0.2476  2 Fe 2.27, 2 Ni 2.27, 1 P 2.40
2 Fe 0.7500 0.2500 0.5000  4 P 2.27
3 P 0.3762 0.3762 0.7524  2 Ni 2.27, 2 Fe 2.27, 1 P 2.40
4 Pa 0.0000 0.0000 0.0000  8 P 2.96, 4 Fe 3.09, 4 Ni 3.09
5 Ni 0.2500 0.7500 0.5000  4 P 2.27

Results
crystal system = tetragonal
volume = 14.189 A^3/atom
ΔH_f (0 K) = -0.882 eV per atom
DOS(E_F) = 4.360 states/eV/cell
SG = I-4m2, No. 119
calculated total energy = -7.7938 eV/atom

***

[12]
FeNiP2Pt | PBE-GGA | optimized geometry

Cell: 4.5604 4.5604 4.8160 Å, 90.00 90.00 90.00°
Closest atoms and distances in Å follow each position.
Element x y z (fractional)
1 Ni 0.5000 0.5000 0.5000  4 Fe 3.22, 8 P 3.32
2 Pt 0.0000 0.0000 0.0000  4 P 2.28, 2 Fe 2.41
3 Fe 0.0000 0.0000 0.5000  2 Pt 2.41
4 P 0.5000 0.0000 0.0000  2 Pt 2.28
5 P 0.0000 0.5000 0.0000  2 Pt 2.28

Results
crystal system = tetragonal
volume = 20.032 A^3/atom
ΔH_f (0 K) = 1.117 eV per atom
DOS(E_F) = 5.564 states/eV/cell
SG = P4/mmm, No. 123
calculated total energy = -5.1039 eV/atom

***

[13]
FeNiPS2 | PBE-GGA | optimized geometry

Cell: 4.6046 4.6046 4.1362 Å, 90.00 90.00 90.00°
Closest atoms and distances in Å follow each position.
Element x y z (fractional)
1 Ni 0.0000 0.0000 0.0000  2 P 2.07, 4 S 2.30
2 Fe 0.5000 0.5000 0.5000  8 S 3.09, 4 P 3.26
3 S 0.0000 0.5000 0.0000  2 Ni 2.30
4 P 0.0000 0.0000 0.5000  2 Ni 2.07
5 S 0.5000 0.0000 0.0000  2 Ni 2.30

Results
crystal system = tetragonal
volume = 17.540 A^3/atom
formation energy from raw total energies = 0.703 eV/atom
DOS(E_F) = 5.436 states/eV/cell
SG = P4/mmm, No. 123
calculated total energy = -4.8785 eV/atom

***

[14]
FeNiP2S | PBE-GGA | optimized geometry

Cell: 4.1277 4.1277 4.8856 Å, 90.00 90.00 90.00°
Closest atoms and distances in Å follow each position.
Element x y z (fractional)
1 Fe 0.0000 0.0000 0.0000  4 P 2.06
2 P 0.5000 0.0000 0.0000  2 Fe 2.06
3 S 0.0000 0.0000 0.5000  2 Fe 2.44
4 P 0.0000 0.5000 0.0000  2 Fe 2.06
5 Ni 0.5000 0.5000 0.5000  4 S 2.92, 8 P 3.20

Results
crystal system = tetragonal
volume = 16.648 A^3/atom
formation energy from raw total energies = 0.696 eV/atom
DOS(E_F) = 4.597 states/eV/cell
SG = P4/mmm, No. 123
calculated total energy = -5.1422 eV/atom

***

[15]
FeNiP2S | PBE-GGA | optimized geometry

Cell: 4.2748 4.2748 4.6848 Å, 90.00 90.00 90.00°
Closest atoms and distances in Å follow each position.
Element x y z (fractional)
1 P 0.0000 0.5000 0.0000  2 Ni 2.14
2 Fe 0.5000 0.5000 0.5000  4 S 3.02, 8 P 3.17
3 Ni 0.0000 0.0000 0.0000  4 P 2.14, 2 S 2.34
4 S 0.0000 0.0000 0.5000  2 Ni 2.34
5 P 0.5000 0.0000 0.0000  2 Ni 2.14

Results
crystal system = tetragonal
volume = 17.122 A^3/atom
formation energy from raw total energies = 0.781 eV/atom
DOS(E_F) = 5.129 states/eV/cell
SG = P4/mmm, No. 123
calculated total energy = -5.0568 eV/atom

***

[16]
FeNiPS2 | PBE-GGA | optimized geometry

Cell: 4.4815 4.4815 4.1987 Å, 90.00 90.00 90.00°
Closest atoms and distances in Å follow each position.
Element x y z (fractional)
1 Ni 0.5000 0.5000 0.5000  8 S 3.07, 4 P 3.17
2 P 0.0000 0.0000 0.5000  2 Fe 2.10
3 S 0.5000 0.0000 0.0000  2 Fe 2.24
4 S 0.0000 0.5000 0.0000  2 Fe 2.24
5 Fe 0.0000 0.0000 0.0000  2 P 2.10, 4 S 2.24

Results
crystal system = tetragonal
volume = 16.865 A^3/atom
formation energy from raw total energies = 0.728 eV/atom
DOS(E_F) = 5.486 states/eV/cell
SG = P4/mmm, No. 123
calculated total energy = -4.8533 eV/atom

***

[17]
FeNiPSe2 | PBE-GGA | optimized geometry

Cell: 4.7949 4.0891 4.7949 Å, 90.00 90.00 90.00°
Closest atoms and distances in Å follow each position.
Element x y z (fractional)
1 Se 0.5000 0.0000 0.0000  2 Fe 2.40
2 Se 0.0000 0.0000 0.5000  2 Fe 2.40
3 Fe 0.0000 0.0000 0.0000  2 P 2.04
4 Ni 0.5000 0.5000 0.5000  8 Se 3.15, 4 P 3.39
5 P 0.0000 0.5000 0.0000  2 Fe 2.04

Results
crystal system = tetragonal
volume = 18.803 A^3/atom
formation energy from raw total energies = 0.681 eV/atom
DOS(E_F) = 7.112 states/eV/cell
SG = P4/mmm, No. 123
calculated total energy = -4.6439 eV/atom

***

[18]
Fe2NiSnP | PBE-GGA | optimized geometry

Cell: 4.0761 5.0662 4.0761 Å, 90.00 90.00 90.00°
Closest atoms and distances in Å follow each position.
Element x y z (fractional)
1 Ni 0.5000 0.5000 0.5000  4 Sn 2.88
2 Fe 0.0000 0.0000 0.5000  2 P 2.04
3 P 0.0000 0.0000 0.0000  4 Fe 2.04
4 Fe 0.5000 0.0000 0.0000  2 P 2.04
5 Sn 0.0000 0.5000 0.0000  2 P 2.53

Results
crystal system = tetragonal
volume = 16.835 A^3/atom
ΔH_f (0 K) = 0.687 eV per atom
DOS(E_F) = 6.386 states/eV/cell
SG = P4/mmm, No. 123
calculated total energy = -5.7374 eV/atom

***

[19]
FeNi7Sn2P2 | PBE-GGA | optimized geometry

Cell: 3.5592 3.5592 14.2472 Å, 82.67 82.67 89.98°
Closest atoms and distances in Å follow each position.
Element x y z (fractional)
1 Ni 0.6888 0.6888 0.6229  1 P 2.16
2 Sn 0.7884 0.7884 0.4221  5 Ni 2.59-2.81
3 Sn 0.2116 0.2116 0.5779  5 Ni 2.59-2.81
4 P 0.3856 0.3856 0.2230  5 Ni 2.16-2.22
5 P 0.6144 0.6144 0.7770  5 Ni 2.16-2.22
6 Ni 0.9336 0.4333 0.1286  2 P 2.22
7 Ni 0.0664 0.5667 0.8714  2 P 2.22
8 Ni 0.4333 0.9336 0.1286  2 P 2.22
9 Fe 0.0000 0.0000 0.0000  12 Ni 2.52-2.53
10 Ni 0.3112 0.3112 0.3771  1 P 2.16
11 Ni 0.5667 0.0664 0.8714  2 P 2.22
12 Ni 0.5000 0.5000 0.0000  4 Fe 2.52, 8 Ni 2.53

Results
crystal system = monoclinic
volume = 14.794 A^3/atom
ΔH_f (0 K) = -0.206 eV per atom
DOS(E_F) = 6.494 states/eV/cell
SG = C2/m, No. 12
calculated total energy = -5.8525 eV/atom

***

[20]
SrFeNiP2 | PBE-GGA | optimized geometry

Cell: 3.8134 3.8134 6.4062 Å, 107.32 107.32 90.00°
Closest atoms and distances in Å follow each position.
Element x y z (fractional)
1 P 0.6495 0.6495 0.2991  2 Fe 2.24, 2 Ni 2.24
2 Sr 0.0000 0.0000 0.0000  8 P 3.21, 4 Fe 3.48, 4 Ni 3.48
3 Fe 0.7500 0.2500 0.5000  4 P 2.24
4 Ni 0.2500 0.7500 0.5000  4 P 2.24
5 P 0.3505 0.3505 0.7009  2 Ni 2.24, 2 Fe 2.24

Results
crystal system = tetragonal
volume = 16.901 A^3/atom
ΔH_f (0 K) = -0.792 eV per atom
DOS(E_F) = 2.589 states/eV/cell
SG = I-4m2, No. 119
calculated total energy = -6.1410 eV/atom